# Tl2CdCo2

A relaxed Tl2CdCo2 crystal (GGA-PBE, Alexandria).

Computed properties:
Total moment (μB per formula unit): 2.12
Mass density (g/cm3): 11.47
Raw total energy (eV/f.u.): -17.8

Cell lengths 6.854, 6.854, 3.940 Å; angles 90.00, 90.00, 90.00 degrees
Each line ends with the local moment (μB).
Fractional coordinates of all 10 atoms:
Tl1 0.171 0.671 0.500  -0.02
Tl2 0.671 0.829 0.500  -0.02
Tl3 0.829 0.329 0.500  -0.02
Tl4 0.329 0.171 0.500  -0.02
Co1 0.377 0.877 0.000  1.13
Co2 0.877 0.623 0.000  1.13
Co3 0.623 0.123 0.000  1.13
Co4 0.123 0.377 0.000  1.13
Cd1 0.000 0.000 0.000  -0.03
Cd2 0.500 0.500 0.000  -0.03